Pm2Y6HoSc3 | GGA-PBE | relaxed

Output
Formation enthalpy at 0 K (meV per atom): 51
DOS at the Fermi energy (states/eV per atom): 1.578

a b c (Å): 6.0953 10.5545 11.5528
angles (deg): 90.00 100.12 90.00
With the nearest neighbours (Å) after each atom.
Space group C2/m (No. 12)
Symmetry-distinct sites (fractional):
Pm 0.0000 0.1668 0.0000 (multiplicity 4)  3 Ho 3.52, 3 Pm 3.52, 6 Y 3.59
Y 0.2460 0.5000 0.7395 (multiplicity 4)  3 Sc 3.40, 6 Y 3.51-3.52, 1 Ho 3.59, 2 Pm 3.59
Y 0.2467 0.1664 0.7395 (multiplicity 8)  3 Sc 3.40, 6 Y 3.51-3.52, 1 Ho 3.59, 2 Pm 3.59
Ho 0.0000 0.5000 0.0000 (multiplicity 2)  6 Pm 3.52, 6 Y 3.59
Sc 0.0000 0.0000 0.5000 (multiplicity 2)  6 Y 3.40, 6 Sc 3.52
Sc 0.0000 0.3336 0.5000 (multiplicity 4)  6 Y 3.40, 6 Sc 3.51-3.52